DFT (GGA-PBE) results for a relaxed structure of Ho3Ag2Pt.

```
Ho3Ag2Pt
1.0
5.031 0.000 0.000
-2.515 4.357 0.000
0.000 0.000 6.187
Ho Ag Pt
3 2 1
Direct
0.000 0.000 0.500
0.667 0.333 0.852
0.333 0.667 0.148
0.667 0.333 0.357
0.333 0.667 0.643
0.000 0.000 0.000
```

E_tot = -4.8997 eV per atom
total moment = 0.000 μB/f.u.
symmetry = No. 164